# TiCr2BiO6

TiCr2BiO6 after structural relaxation (PBE with a Hubbard U, the Alexandria database).

Cell lengths 5.361, 5.353, 5.695 Å; angles 64.87, 65.24, 58.82 degrees
Site moments in Bohr magnetons follow the coordinates.
Sites, in units of the cell vectors:
Ti 0.316 0.310 0.052  0.10
Cr 0.509 0.528 0.440  3.73
Cr 0.011 0.010 0.973  3.02
Bi 0.786 0.794 0.605  0.02
O 0.609 0.238 0.222  -0.03
O 0.257 0.941 0.213  -0.03
O 0.966 0.608 0.209  -0.01
O 0.359 0.722 0.758  -0.03
O 0.715 0.159 0.760  -0.02
O 0.135 0.351 0.782  -0.01

E = -7.636 eV/atom